A plane-wave DFT calculation with GGA+U was carried out for a geometry-optimized RbNi3F structure.

## Properties
Total energy   -7.98 eV/cell
Calculated volume   19.31 A^3/atom
Symmetry   No. 221

Structure (CIF):
```
data_RbNi3F
_chemical_formula_sum 'Rb1 Ni3 F1'
_cell_length_a 4.5874
_cell_length_b 4.5874
_cell_length_c 4.5874
_cell_angle_alpha 90.00
_cell_angle_beta 90.00
_cell_angle_gamma 90.00
_symmetry_space_group_name_H-M 'P 1'
_symmetry_Int_Tables_number 1
_symmetry_space_group_name_Hall 'P 1'
loop_
_atom_site_label
_atom_site_type_symbol
_atom_site_fract_x
_atom_site_fract_y
_atom_site_fract_z
Rb1 Rb 0.0000 0.0000 0.0000
Ni1 Ni 0.0000 0.5000 0.5000
Ni2 Ni 0.5000 0.0000 0.5000
Ni3 Ni 0.5000 0.5000 0.0000
F1 F 0.5000 0.5000 0.5000
```